This record from Alexandria via LeMat-Bulk describes a PBEsol-optimized structure of Sc3GaS. The functional is SCAN. Values from VASP.

The structure in Quantum ESPRESSO input format:
```
&SYSTEM
  ibrav = 0, nat = 5, ntyp = 3
/
ATOMIC_SPECIES
Sc 44.96 Sc.upf
Ga 69.72 Ga.upf
S 32.06 S.upf
ATOMIC_POSITIONS crystal
Sc 0.000 0.000 0.500
Sc 0.000 0.500 0.000
Sc 0.500 0.000 0.000
Ga 0.000 0.000 0.000
S 0.500 0.500 0.500
CELL_PARAMETERS angstrom
4.953 0.000 0.000
0.000 4.953 0.000
0.000 0.000 4.953
```

Computed properties:
Space group: Pm-3m, No. 221
N(E_F) in states/eV/f.u.: 5.11
Formation energy from raw total energies in eV/atom: -0.06


This record from Alexandria via LeMat-Bulk describes a PBEsol-optimized structure of Tl3FeBr. The functional is SCAN. Values from VASP.

The structure in Quantum ESPRESSO input format:
```
&SYSTEM
  ibrav = 0, nat = 5, ntyp = 3
/
ATOMIC_SPECIES
Tl 204.38 Tl.upf
Fe 55.84 Fe.upf
Br 79.90 Br.upf
ATOMIC_POSITIONS crystal
Tl 0.000 0.000 0.500
Tl 0.000 0.500 0.000
Tl 0.500 0.000 0.000
Fe 0.500 0.500 0.500
Br 0.000 0.000 0.000
CELL_PARAMETERS angstrom
5.839 0.000 0.000
0.000 5.839 0.000
0.000 0.000 5.839
```

Computed properties:
Space group: Pm-3m, No. 221
N(E_F) in states/eV/f.u.: 8.95
Formation energy from raw total energies in eV/atom: 0.80


This record from Alexandria via LeMat-Bulk describes a PBEsol-optimized structure of Na2TiTl2. The functional is SCAN. Values from VASP.

The structure in Quantum ESPRESSO input format:
```
&SYSTEM
  ibrav = 0, nat = 5, ntyp = 3
/
ATOMIC_SPECIES
Na 22.99 Na.upf
Ti 47.87 Ti.upf
Tl 204.38 Tl.upf
ATOMIC_POSITIONS crystal
Na 0.137 0.137 0.000
Na 0.863 0.863 0.000
Ti 0.500 0.500 0.000
Tl 0.250 0.750 0.500
Tl 0.750 0.250 0.500
CELL_PARAMETERS angstrom
-2.661 2.661 4.393
2.661 -2.661 4.393
2.661 2.661 -4.393
```

Computed properties:
Space group: I4/mmm, No. 139
N(E_F) in states/eV/f.u.: 1.77
Energy relative to the elements in meV/atom: 397


This record from Alexandria via LeMat-Bulk describes a PBEsol-optimized structure of KLa2H. The functional is SCAN. Values from VASP.

The structure in Quantum ESPRESSO input format:
```
&SYSTEM
  ibrav = 0, nat = 8, ntyp = 3
/
ATOMIC_SPECIES
K 39.10 K.upf
La 138.91 La.upf
H 1.01 H.upf
ATOMIC_POSITIONS crystal
K 0.000 0.000 0.000
K 0.750 0.250 0.500
La 0.288 0.625 0.163
La 0.375 0.538 0.663
La 0.462 0.125 0.837
La 0.875 0.712 0.337
H 0.250 0.750 0.500
H 0.500 0.500 0.000
CELL_PARAMETERS angstrom
-3.796 3.796 4.551
3.796 -3.796 4.551
3.796 3.796 -4.551
```

Computed properties:
Space group: I-42d, No. 122
N(E_F) in states/eV/f.u.: 3.31
E_tot in eV/atom: -24.404


This record from Alexandria via LeMat-Bulk describes a PBEsol-optimized structure of RbTl2Pd2. The functional is SCAN. Values from VASP.

The structure in Quantum ESPRESSO input format:
```
&SYSTEM
  ibrav = 0, nat = 5, ntyp = 3
/
ATOMIC_SPECIES
Rb 85.47 Rb.upf
Tl 204.38 Tl.upf
Pd 106.42 Pd.upf
ATOMIC_POSITIONS crystal
Rb 0.000 0.000 0.000
Tl 0.250 0.750 0.500
Tl 0.750 0.250 0.500
Pd 0.378 0.378 0.000
Pd 0.622 0.622 0.000
CELL_PARAMETERS angstrom
-2.418 2.418 5.421
2.418 -2.418 5.421
2.418 2.418 -5.421
```

Computed properties:
Space group: I4/mmm, No. 139
N(E_F) in states/eV/f.u.: 1.83
Energy relative to the elements in meV/atom: -124


This record from Alexandria via LeMat-Bulk describes a PBEsol-optimized structure of SrCo2Pb. The functional is SCAN. Values from VASP.

The structure in Quantum ESPRESSO input format:
```
&SYSTEM
  ibrav = 0, nat = 4, ntyp = 3
/
ATOMIC_SPECIES
Sr 87.62 Sr.upf
Co 58.93 Co.upf
Pb 207.20 Pb.upf
ATOMIC_POSITIONS crystal
Sr 0.000 0.000 0.000
Co 0.500 0.500 0.000
Co 0.750 0.250 0.500
Pb 0.250 0.750 0.500
CELL_PARAMETERS angstrom
-2.042 2.042 4.585
2.042 -2.042 4.585
2.042 2.042 -4.585
```

Computed properties:
Space group: I-4m2, No. 119
N(E_F) in states/eV/f.u.: 2.06
Energy relative to the elements in meV/atom: 576


This record from Alexandria via LeMat-Bulk describes a PBEsol-optimized structure of CdAuCl2. The functional is SCAN. Values from VASP.

The structure in Quantum ESPRESSO input format:
```
&SYSTEM
  ibrav = 0, nat = 4, ntyp = 3
/
ATOMIC_SPECIES
Cd 112.41 Cd.upf
Au 196.97 Au.upf
Cl 35.45 Cl.upf
ATOMIC_POSITIONS crystal
Cd 0.000 0.000 0.000
Au 0.500 0.500 0.000
Cl 0.000 0.500 0.500
Cl 0.500 0.000 0.500
CELL_PARAMETERS angstrom
4.754 0.000 0.000
0.000 4.754 0.000
0.000 0.000 3.490
```

Computed properties:
Space group: P4/mmm, No. 123
N(E_F) in states/eV/f.u.: 1.65
Formation energy from raw total energies in eV/atom: -0.04
Polymorph energy (0 for the lowest one) in eV per formula unit: 1.885


This record from Alexandria via LeMat-Bulk describes a PBEsol-optimized structure of BaReRh2. The functional is SCAN. Values from VASP.

The structure in Quantum ESPRESSO input format:
```
&SYSTEM
  ibrav = 0, nat = 4, ntyp = 3
/
ATOMIC_SPECIES
Ba 137.33 Ba.upf
Re 186.21 Re.upf
Rh 102.91 Rh.upf
ATOMIC_POSITIONS crystal
Ba 0.000 0.000 0.000
Re 0.500 0.500 0.500
Rh 0.196 0.196 0.196
Rh 0.804 0.804 0.804
CELL_PARAMETERS angstrom
2.147 1.240 5.743
-2.147 1.240 5.743
0.000 -2.480 5.743
```

Computed properties:
Space group: R-3m, No. 166
N(E_F) in states/eV/f.u.: 4.40
Energy relative to the elements in meV/atom: 100


This record from Alexandria via LeMat-Bulk describes a PBEsol-optimized structure of TcSnTeN2. The functional is SCAN. Values from VASP.

The structure in Quantum ESPRESSO input format:
```
&SYSTEM
  ibrav = 0, nat = 5, ntyp = 4
/
ATOMIC_SPECIES
Tc 98.00 Tc.upf
Sn 118.71 Sn.upf
Te 127.60 Te.upf
N 14.01 N.upf
ATOMIC_POSITIONS crystal
Tc 0.000 0.000 0.000
Sn 0.500 0.500 0.500
Te 0.000 0.000 0.500
N 0.000 0.500 0.000
N 0.500 0.000 0.000
CELL_PARAMETERS angstrom
3.973 0.000 0.000
0.000 3.973 0.000
0.000 0.000 5.451
```

Computed properties:
Space group: P4/mmm, No. 123
N(E_F) in states/eV/f.u.: 2.56
Formation energy from raw total energies in eV/atom: 0.68


This record from Alexandria via LeMat-Bulk describes a PBEsol-optimized structure of LaBrCl. The functional is SCAN. Values from VASP.

The structure in Quantum ESPRESSO input format:
```
&SYSTEM
  ibrav = 0, nat = 3, ntyp = 3
/
ATOMIC_SPECIES
La 138.91 La.upf
Br 79.90 Br.upf
Cl 35.45 Cl.upf
ATOMIC_POSITIONS crystal
La 0.000 0.000 0.000
Br 0.360 0.360 0.000
Cl 0.622 0.622 0.000
CELL_PARAMETERS angstrom
-1.801 1.801 6.294
1.801 -1.801 6.294
1.801 1.801 -6.294
```

Computed properties:
Space group: I4mm, No. 107
N(E_F) in states/eV/f.u.: 0.89
Formation energy from raw total energies in eV/atom: -2.17


This record from Alexandria via LeMat-Bulk describes a PBEsol-optimized structure of MgCrNi6. The functional is SCAN. Values from VASP.

The structure in Quantum ESPRESSO input format:
```
&SYSTEM
  ibrav = 0, nat = 32, ntyp = 3
/
ATOMIC_SPECIES
Mg 24.30 Mg.upf
Cr 52.00 Cr.upf
Ni 58.69 Ni.upf
ATOMIC_POSITIONS crystal
Mg 0.000 0.000 0.250
Mg 0.000 0.000 0.750
Mg 0.246 0.754 0.000
Mg 0.754 0.246 0.000
Cr 0.248 0.752 0.500
Cr 0.500 0.500 0.244
Cr 0.500 0.500 0.756
Cr 0.752 0.248 0.500
Ni 0.000 0.000 0.000
Ni 0.000 0.000 0.500
Ni 0.130 0.384 0.380
Ni 0.130 0.384 0.620
Ni 0.137 0.382 0.131
Ni 0.137 0.382 0.869
Ni 0.254 0.746 0.260
Ni 0.254 0.746 0.740
Ni 0.382 0.137 0.131
Ni 0.382 0.137 0.869
Ni 0.384 0.130 0.380
Ni 0.384 0.130 0.620
Ni 0.500 0.500 0.000
Ni 0.500 0.500 0.500
Ni 0.616 0.870 0.380
Ni 0.616 0.870 0.620
Ni 0.618 0.863 0.131
Ni 0.618 0.863 0.869
Ni 0.746 0.254 0.260
Ni 0.746 0.254 0.740
Ni 0.863 0.618 0.131
Ni 0.863 0.618 0.869
Ni 0.870 0.616 0.380
Ni 0.870 0.616 0.620
CELL_PARAMETERS angstrom
3.516 -4.975 0.000
3.516 4.975 0.000
0.000 0.000 9.978
```

Computed properties:
Space group: Cmmm, No. 65
N(E_F) in states/eV/f.u.: 6.57
Energy relative to the elements in meV/atom: -44